An optimized crystal structure of RePd2F. Source: Alexandria, functional PBE.

Calculated volume (A^3/atom): 14.6
Formation energy without anion corrections (eV/atom): 0.373
E (eV per atom): -5.803
DOS at the Fermi energy (states/eV/atom): 0.636

a = 6.153 Å, b = 6.153 Å, c = 6.153 Å
α = 90.00°, β = 90.00°, γ = 90.00°
Space group Fm-3m (No. 225)
Asymmetric unit:
Re: 0.000 0.000 0.000 x4
Pd: 0.250 0.250 0.250 x8
F: 0.000 0.000 0.500 x4